First-principles (PBE) data for crystalline CaIn2OsBr at its relaxed geometry, as listed in Alexandria via LeMat-Bulk.

It has space group P4/mmm (No. 123), with a = 5.1597 Å, b = 5.1597 Å, c = 5.6272 Å, α = 90.00°, β = 90.00° and γ = 90.00°. Symmetry generates all atoms from Ca at (0.0000, 0.0000, 0.0000), In at (0.0000, 0.5000, 0.5000), Os at (0.0000, 0.0000, 0.5000) and Br at (0.5000, 0.5000, 0.0000).

The calculated total energy is -21.163 eV per cell. As for the crystal system: tetragonal. As for the volume: 29.96 A^3/atom. For the uncorrected formation energy, the calculation gives -0.1564 eV per atom.